# 1
Here is an optimized crystal structure of LiAc2HgPd6 from Alexandria. Energies are from PBE-GGA.

Summary:
- size of the total moment (μB/cell) = 0.00
- N(E_F) (states/eV/f.u.) = 3.83
- calculated volume (Å³ per cell) = 434
- ΔE_f (eV/atom) = -0.56

Cell lengths 12.2795, 5.5612, 8.8012 Å; angles 90.00, 133.77, 90.00 degrees
Space group C2/m (No. 12)
One atom of each set of equivalent atoms:
Li: 0.0000 0.0000 0.0000 x2
Ac: 0.0316 0.5000 0.2804 x4
Hg: 0.0000 0.0000 0.5000 x2
Pd: 0.1783 0.0000 0.9311 x4
Pd: 0.2372 0.2459 0.2505 x8

# 2
Here is an optimized crystal structure of Li3Ac2HgPd12 from Alexandria. Energies are from PBE-GGA.

Summary:
- size of the total moment (μB/cell) = 0.00
- N(E_F) (states/eV/f.u.) = 4.00
- calculated volume (Å³ per cell) = 1059
- ΔE_f (eV/atom) = -0.29

Cell lengths 6.4893, 6.4893, 29.0446 Å; angles 90.00, 90.00, 120.00 degrees
Space group R-3m (No. 166, hexagonal axes)
One atom of each set of equivalent atoms:
Li: 0.0000 0.5000 0.0000 x9
Ac: 0.0000 0.0000 0.1325 x6
Hg: 0.0000 0.0000 0.5000 x3
Pd: 0.0447 0.5224 0.8923 x18
Pd: 0.0560 0.5280 0.6243 x18

# 3
Here is an optimized crystal structure of LiAcHg2Pd2 from Alexandria. Energies are from PBE-GGA.

Summary:
- size of the total moment (μB/cell) = 0.00
- N(E_F) (states/eV/f.u.) = 2.71
- calculated volume (Å³ per cell) = 306
- ΔE_f (eV/atom) = -0.27

Cell lengths 5.4460, 5.4460, 10.3167 Å; angles 90.00, 90.00, 90.00 degrees
Space group I4/mmm (No. 139)
One atom of each set of equivalent atoms:
Li: 0.0000 0.0000 0.0000 x2
Ac: 0.0000 0.0000 0.5000 x2
Hg: 0.0000 0.5000 0.2500 x4
Pd: 0.0000 0.0000 0.2287 x4

# 4
Here is an optimized crystal structure of LiAc2PmHg6 from Alexandria. Energies are from PBE-GGA.

Summary:
- size of the total moment (μB/cell) = 0.00
- N(E_F) (states/eV/f.u.) = 9.02
- calculated volume (Å³ per cell) = 276
- ΔE_f (eV/atom) = -0.42

Cell lengths 4.9931, 6.1309, 9.8514 Å; angles 88.89, 89.70, 66.33 degrees
Space group P-1 (No. 2)
One atom of each set of equivalent atoms:
Li: 0.0000 0.0000 0.0000 x1
Ac: 0.2939 0.4120 0.1902 x2
Pm: 0.5000 0.0000 0.5000 x1
Hg: 0.0088 0.9833 0.2820 x2
Hg: 0.1973 0.6061 0.5391 x2
Hg: 0.3999 0.1978 0.8691 x2

Which of these has the lowest N(E_F)?
LiAcHg2Pd2

ΔE_f of number 4 (LiAc2PmHg6)?
-0.42 eV/atom